Version 1
DFT (PBE) results for crystalline Pm2CuRh at its relaxed geometry.

POSCAR file:
```
Pm2CuRh
1.0
0.000 3.544 3.544
3.544 0.000 3.544
3.544 3.544 0.000
Pm Cu Rh
2 1 1
direct
0.250 0.250 0.250
0.750 0.750 0.750
0.000 0.000 0.000
0.500 0.500 0.500
```

Its total magnetic moment is 0.000 μB/f.u.

---

Version 2
DFT (PBE) results for crystalline Pm2CuRh at its relaxed geometry.

POSCAR file:
```
Pm2CuRh
1.0
5.696 0.000 0.000
0.000 4.441 0.000
-2.693 0.000 7.303
Pm Cu Rh
4 2 2
direct
0.219 0.250 0.434
0.227 0.250 0.928
0.773 0.750 0.072
0.781 0.750 0.566
0.351 0.750 0.213
0.649 0.250 0.787
0.343 0.750 0.714
0.657 0.250 0.286
```

Its total magnetic moment is 0.000 μB/f.u.

---

Unit: eV/atom. Relative energies: version 1 0.073; version 2 0.000.

---

Version 1
DFT (PBE) results for crystalline PmSmCuRh at its relaxed geometry.

POSCAR file:
```
PmSmCuRh
1.0
0.000 3.535 3.535
3.535 0.000 3.535
3.535 3.535 0.000
Pm Sm Cu Rh
1 1 1 1
direct
0.000 0.000 0.000
0.500 0.500 0.500
0.750 0.750 0.750
0.250 0.250 0.250
```

Its total magnetic moment is 0.000 μB/f.u.

---

Version 2
DFT (PBE) results for crystalline PmSmCuRh at its relaxed geometry.

POSCAR file:
```
PmSmCuRh
1.0
4.445 0.000 0.000
0.000 1.948 5.290
0.000 -1.948 5.290
Pm Sm Cu Rh
1 1 1 1
direct
0.000 0.000 0.000
0.500 0.723 0.723
0.500 0.434 0.434
0.000 0.280 0.280
```

Its total magnetic moment is 0.000 μB/f.u.

---

Unit: eV/atom. Relative energies: version 1 0.049; version 2 0.000.